# Zr2SnO2

A relaxed Zr2SnO2 crystal (PBE, the Alexandria database).

Lattice parameters (Å, degrees): 6.5611 6.5611 6.5611 147.38 147.38 46.80
Last column: nearest neighbours and their distance in Å.
Sites, in units of the cell vectors:
Zr 0.1517 0.1517 0.0000  4 O 2.19
Zr 0.8483 0.8483 0.0000  4 O 2.19
Sn 0.5000 0.5000 0.0000  8 Zr 3.18, 8 O 3.53
O 0.2500 0.7500 0.5000  4 Zr 2.19
O 0.7500 0.2500 0.5000  4 Zr 2.19

## Properties
SG: No. 139
Crystal system: tetragonal
Formation energy without anion corrections, eV/f.u.: -10.447
Energy relative to the lowest polymorph listed for this composition, meV/atom: 0

=====

# ZrSn2O

A relaxed ZrSn2O crystal (PBE, the Alexandria database).

Lattice parameters (Å, degrees): 6.0033 6.0033 6.0033 110.60 110.60 107.24
Last column: nearest neighbours and their distance in Å.
Sites, in units of the cell vectors:
Zr 0.0000 0.0000 0.0000  4 Sn 2.96
Zr 0.7500 0.2500 0.5000  4 Sn 2.96
Sn 0.2034 0.6250 0.0784  2 O 2.26
Sn 0.3750 0.4534 0.5784  2 O 2.26
Sn 0.5466 0.1250 0.9216  2 O 2.26
Sn 0.8750 0.7966 0.4216  2 O 2.26
O 0.2500 0.7500 0.5000  4 Sn 2.26
O 0.5000 0.5000 0.0000  4 Sn 2.26

## Properties
SG: No. 122
Crystal system: tetragonal
Formation energy without anion corrections, eV/f.u.: -1.472

=====

# Zr6Sn2O

A relaxed Zr6Sn2O crystal (PBE, the Alexandria database).

Lattice parameters (Å, degrees): 6.1831 6.1831 9.5836 90.00 90.00 90.00
Last column: nearest neighbours and their distance in Å.
Sites, in units of the cell vectors:
Zr 0.0000 0.0000 0.2500  1 O 2.40
Zr 0.0000 0.0000 0.7500  1 O 2.40
Zr 0.2134 0.2729 0.0000  1 O 2.26
Zr 0.2271 0.2866 0.5000  1 O 2.26
Zr 0.2729 0.7866 0.0000  1 O 2.26
Zr 0.2866 0.7729 0.5000  1 O 2.26
Zr 0.5000 0.5000 0.2500  1 O 2.40
Zr 0.5000 0.5000 0.7500  1 O 2.40
Zr 0.7134 0.2271 0.5000  1 O 2.26
Zr 0.7271 0.2134 0.0000  1 O 2.26
Zr 0.7729 0.7134 0.5000  1 O 2.26
Zr 0.7866 0.7271 0.0000  1 O 2.26
Sn 0.0000 0.5000 0.2500  12 Zr 3.07-3.42
Sn 0.0000 0.5000 0.7500  12 Zr 3.07-3.42
Sn 0.5000 0.0000 0.2500  12 Zr 3.07-3.42
Sn 0.5000 0.0000 0.7500  12 Zr 3.07-3.42
O 0.0000 0.0000 0.5000  6 Zr 2.26-2.40
O 0.5000 0.5000 0.0000  6 Zr 2.26-2.40

## Properties
SG: No. 128
Crystal system: tetragonal
Formation energy without anion corrections, eV/f.u.: -7.633
Energy relative to the lowest polymorph listed for this composition, meV/atom: 0